No. 1
A plane-wave DFT calculation with PBE was carried out for a relaxed structure of CaTh2Pt3.

The calculation puts the electronic total energy at -6.93 eV per atom. As for the magnetic moment: 0.00 μB/f.u. The calculation puts the density of states at the Fermi level at 0.482 states/eV/atom.

```
CaTh2Pt3
1.0
-5.0410 3.0231 0.5349
-4.1336 -7.1252 1.3228
1.9844 1.1326 12.3014
Ca Th Pt
4 8 12
direct
0.2499 0.8738 0.0843 Ca
0.2499 0.3738 0.4157 Ca
0.7501 0.6262 0.5843 Ca
0.7501 0.1262 0.9157 Ca
0.2497 0.8732 0.7479 Th
0.2497 0.3732 0.7521 Th
0.2502 0.8714 0.4172 Th
0.2502 0.3714 0.0828 Th
0.7498 0.6286 0.9172 Th
0.7498 0.1286 0.5828 Th
0.7503 0.6268 0.2479 Th
0.7503 0.1268 0.2521 Th
0.2501 0.6288 0.5874 Pt
0.2501 0.1288 0.9126 Pt
0.2498 0.6199 0.9143 Pt
0.2498 0.1199 0.5857 Pt
0.2503 0.6231 0.2504 Pt
0.2503 0.1231 0.2496 Pt
0.7497 0.8769 0.7504 Pt
0.7497 0.3769 0.7496 Pt
0.7502 0.8801 0.4143 Pt
0.7502 0.3801 0.0857 Pt
0.7499 0.8712 0.0874 Pt
0.7499 0.3712 0.4126 Pt
```

No. 2
A plane-wave DFT calculation with PBE was carried out for a relaxed structure of Ca5ThPt6.

The calculation puts the electronic total energy at -5.45 eV per atom. As for the magnetic moment: 0.00 μB/f.u. The calculation puts the density of states at the Fermi level at 0.314 states/eV/atom.

```
Ca5ThPt6
1.0
-3.0953 -0.1631 3.9083
4.8266 -3.6524 3.6702
1.3300 6.3128 4.5332
Ca Th Pt
5 1 6
direct
0.6669 0.5000 0.6658 Ca
0.3259 0.0000 0.3481 Ca
0.0000 0.5000 0.0000 Ca
0.6741 0.0000 0.6519 Ca
0.3331 0.5000 0.3342 Ca
0.0000 0.0000 0.0000 Th
0.8419 0.7529 0.3164 Pt
0.8419 0.2471 0.3164 Pt
0.5000 0.2332 0.0000 Pt
0.5000 0.7668 0.0000 Pt
0.1581 0.7529 0.6836 Pt
0.1581 0.2471 0.6836 Pt
```

No. 3
A plane-wave DFT calculation with PBE was carried out for a relaxed structure of CaThPt10.

The calculation puts the electronic total energy at -6.51 eV per atom. As for the magnetic moment: 0.00 μB/f.u. The calculation puts the density of states at the Fermi level at 0.719 states/eV/atom.

```
CaThPt10
1.0
-0.0744 -3.8375 -2.2356
0.5247 -2.7247 4.6597
-9.2805 -0.3198 0.8580
Ca Th Pt
1 1 10
direct
0.0000 0.5000 0.5000 Ca
0.0000 0.0000 0.0000 Th
0.0000 0.0000 0.3322 Pt
0.0000 0.5000 0.8327 Pt
0.0000 0.5000 0.1673 Pt
0.0000 0.0000 0.6678 Pt
0.5000 0.0000 0.5000 Pt
0.5000 0.5000 0.0000 Pt
0.5000 0.2468 0.2465 Pt
0.5000 0.7532 0.7535 Pt
0.5000 0.7532 0.2465 Pt
0.5000 0.2468 0.7535 Pt
```

No. 4
A plane-wave DFT calculation with PBE was carried out for a relaxed structure of Ca3ThPt3.

The calculation puts the electronic total energy at -5.41 eV per atom. As for the magnetic moment: 0.00 μB/f.u. The calculation puts the density of states at the Fermi level at 0.444 states/eV/atom.

```
Ca3ThPt3
1.0
7.2880 0.2736 2.4627
1.8514 7.0542 2.4627
0.3412 0.2736 7.6852
Ca Th Pt
6 2 6
direct
0.8323 0.3575 0.1146 Ca
0.1146 0.8323 0.3575 Ca
0.3575 0.1146 0.8323 Ca
0.6425 0.8854 0.1677 Ca
0.8854 0.1677 0.6425 Ca
0.1677 0.6425 0.8854 Ca
0.3312 0.3312 0.3312 Th
0.6688 0.6688 0.6688 Th
0.5493 0.3174 0.9440 Pt
0.3174 0.9440 0.5493 Pt
0.9440 0.5493 0.3174 Pt
0.0560 0.4507 0.6826 Pt
0.6826 0.0560 0.4507 Pt
0.4507 0.6826 0.0560 Pt
```